# LaHf2TaGe (PBE, relaxed)
data_LaHf2TaGe
_symmetry_space_group_name_H-M 'P 1'
_symmetry_Int_Tables_number 1
_symmetry_space_group_name_Hall 'P 1'
_cell_length_a 5.1478
_cell_length_b 4.9283
_cell_length_c 5.1478
_cell_angle_alpha 90.00
_cell_angle_beta 90.00
_cell_angle_gamma 90.00
loop_
_atom_site_label
_atom_site_type_symbol
_atom_site_fract_x
_atom_site_fract_y
_atom_site_fract_z
Ge1 Ge 0.5000 0.5000 0.5000
Hf1 Hf 0.0000 0.0000 0.5000
Ta1 Ta 0.0000 0.5000 0.0000
La1 La 0.0000 0.0000 0.0000
Hf2 Hf 0.5000 0.0000 0.0000
# crystal system: tetragonal
# symmetry: P4/mmm (123)
# total magnetic moment: 0.00 μB per formula unit
# E_form: 1.83 eV/atom

# LaHfTaGe2 (PBE, relaxed)
data_LaHfTaGe2
_symmetry_space_group_name_H-M 'P 1'
_symmetry_Int_Tables_number 1
_symmetry_space_group_name_Hall 'P 1'
_cell_length_a 5.2198
_cell_length_b 5.2028
_cell_length_c 5.2198
_cell_angle_alpha 90.00
_cell_angle_beta 90.00
_cell_angle_gamma 90.00
loop_
_atom_site_label
_atom_site_type_symbol
_atom_site_fract_x
_atom_site_fract_y
_atom_site_fract_z
La1 La 0.0000 0.0000 0.0000
Hf1 Hf 0.0000 0.5000 0.0000
Ta1 Ta 0.5000 0.5000 0.5000
Ge1 Ge 0.0000 0.0000 0.5000
Ge2 Ge 0.5000 0.0000 0.0000
# crystal system: tetragonal
# symmetry: P4/mmm (123)
# total magnetic moment: 0.00 μB per formula unit
# E_form: 1.96 eV/atom

# LaHfGe2Te (PBE, relaxed)
data_LaHfGe2Te
_symmetry_space_group_name_H-M 'P 1'
_symmetry_Int_Tables_number 1
_symmetry_space_group_name_Hall 'P 1'
_cell_length_a 5.3921
_cell_length_b 5.3921
_cell_length_c 5.9062
_cell_angle_alpha 90.00
_cell_angle_beta 90.00
_cell_angle_gamma 90.00
loop_
_atom_site_label
_atom_site_type_symbol
_atom_site_fract_x
_atom_site_fract_y
_atom_site_fract_z
La1 La 0.0000 0.0000 0.0000
Hf1 Hf 0.5000 0.5000 0.5000
Ge1 Ge 0.5000 0.0000 0.0000
Ge2 Ge 0.0000 0.5000 0.0000
Te1 Te 0.0000 0.0000 0.5000
# formation energy without anion corrections: 94 kJ per mole of atoms
# crystal system: tetragonal
# symmetry: P4/mmm (123)
# total magnetic moment: 0.00 μB per formula unit

# La2HfGeTe (PBE, relaxed)
data_La2HfGeTe
_symmetry_space_group_name_H-M 'P 1'
_symmetry_Int_Tables_number 1
_symmetry_space_group_name_Hall 'P 1'
_cell_length_a 5.7561
_cell_length_b 5.0031
_cell_length_c 5.7561
_cell_angle_alpha 90.00
_cell_angle_beta 90.00
_cell_angle_gamma 90.00
loop_
_atom_site_label
_atom_site_type_symbol
_atom_site_fract_x
_atom_site_fract_y
_atom_site_fract_z
Te1 Te 0.5000 0.5000 0.5000
La1 La 0.5000 0.0000 0.0000
La2 La 0.0000 0.0000 0.5000
Ge1 Ge 0.0000 0.0000 0.0000
Hf1 Hf 0.0000 0.5000 0.0000
# formation energy without anion corrections: -24 kJ per mole of atoms
# crystal system: tetragonal
# symmetry: P4/mmm (123)
# total magnetic moment: 0.00 μB per formula unit

# LiHfGe2 (PBE, relaxed)
data_LiHfGe2
_symmetry_space_group_name_H-M 'P 1'
_symmetry_Int_Tables_number 1
_symmetry_space_group_name_Hall 'P 1'
_cell_length_a 3.8827
_cell_length_b 4.1629
_cell_length_c 4.1629
_cell_angle_alpha 90.00
_cell_angle_beta 90.00
_cell_angle_gamma 90.00
loop_
_atom_site_label
_atom_site_type_symbol
_atom_site_fract_x
_atom_site_fract_y
_atom_site_fract_z
Li1 Li 0.5000 0.0000 0.0000
Hf1 Hf 0.5000 0.5000 0.5000
Ge1 Ge 0.0000 0.0000 0.5000
Ge2 Ge 0.0000 0.5000 0.0000
# crystal system: tetragonal
# symmetry: P4/mmm (123)
# total magnetic moment: 0.00 μB per formula unit
# E_form: -0.35 eV/atom
# polymorph energy (0 for the lowest one): 0 meV/atom

# Li2HfGe2 (PBE, relaxed)
data_Li2HfGe2
_symmetry_space_group_name_H-M 'P 1'
_symmetry_Int_Tables_number 1
_symmetry_space_group_name_Hall 'P 1'
_cell_length_a 3.7517
_cell_length_b 3.7517
_cell_length_c 6.4153
_cell_angle_alpha 73.00
_cell_angle_beta 73.00
_cell_angle_gamma 90.00
loop_
_atom_site_label
_atom_site_type_symbol
_atom_site_fract_x
_atom_site_fract_y
_atom_site_fract_z
Li1 Li 0.7500 0.2500 0.5000
Li2 Li 0.2500 0.7500 0.5000
Ge1 Ge 0.6045 0.6045 0.7911
Ge2 Ge 0.3955 0.3955 0.2089
Hf1 Hf 0.0000 0.0000 0.0000
# crystal system: tetragonal
# symmetry: I4/mmm (139)
# total magnetic moment: 0.00 μB per formula unit
# E_form: -0.35 eV/atom
# polymorph energy (0 for the lowest one): 0 meV/atom

# Li3HfGe (PBE, relaxed)
data_Li3HfGe
_symmetry_space_group_name_H-M 'P 1'
_symmetry_Int_Tables_number 1
_symmetry_space_group_name_Hall 'P 1'
_cell_length_a 5.1252
_cell_length_b 5.1252
_cell_length_c 5.1252
_cell_angle_alpha 90.00
_cell_angle_beta 90.00
_cell_angle_gamma 90.00
loop_
_atom_site_label
_atom_site_type_symbol
_atom_site_fract_x
_atom_site_fract_y
_atom_site_fract_z
Li1 Li 0.5000 0.0000 0.0000
Li2 Li 0.0000 0.0000 0.5000
Hf1 Hf 0.0000 0.0000 0.0000
Ge1 Ge 0.5000 0.5000 0.5000
Li3 Li 0.0000 0.5000 0.0000
# crystal system: cubic
# symmetry: Pm-3m (221)
# total magnetic moment: 2.22 μB per formula unit
# E_form: 1.39 eV/atom
# polymorph energy (0 for the lowest one): 913 meV/atom

# Li2Hf2Ge (PBE, relaxed)
data_Li2Hf2Ge
_symmetry_space_group_name_H-M 'P 1'
_symmetry_Int_Tables_number 1
_symmetry_space_group_name_Hall 'P 1'
_cell_length_a 6.2514
_cell_length_b 6.2514
_cell_length_c 4.3150
_cell_angle_alpha 90.00
_cell_angle_beta 90.00
_cell_angle_gamma 90.00
loop_
_atom_site_label
_atom_site_type_symbol
_atom_site_fract_x
_atom_site_fract_y
_atom_site_fract_z
Li1 Li 0.6325 0.1325 0.0000
Li2 Li 0.1325 0.3675 0.0000
Ge1 Ge 0.0000 0.0000 0.0000
Hf1 Hf 0.1735 0.6735 0.5000
Hf2 Hf 0.6735 0.8265 0.5000
Li3 Li 0.3675 0.8675 0.0000
Hf3 Hf 0.3265 0.1735 0.5000
Ge2 Ge 0.5000 0.5000 0.0000
Li4 Li 0.8675 0.6325 0.0000
Hf4 Hf 0.8265 0.3265 0.5000
# crystal system: tetragonal
# symmetry: P4/mbm (127)
# total magnetic moment: 0.00 μB per formula unit
# E_form: -0.01 eV/atom
# polymorph energy (0 for the lowest one): 0 meV/atom

# LiHfGe2 (PBE, relaxed)
data_LiHfGe2
_symmetry_space_group_name_H-M 'P 1'
_symmetry_Int_Tables_number 1
_symmetry_space_group_name_Hall 'P 1'
_cell_length_a 4.6667
_cell_length_b 4.6667
_cell_length_c 4.6667
_cell_angle_alpha 60.00
_cell_angle_beta 60.00
_cell_angle_gamma 60.00
loop_
_atom_site_label
_atom_site_type_symbol
_atom_site_fract_x
_atom_site_fract_y
_atom_site_fract_z
Hf1 Hf 0.5000 0.5000 0.5000
Li1 Li 0.0000 0.0000 0.0000
Ge1 Ge 0.7500 0.7500 0.7500
Ge2 Ge 0.2500 0.2500 0.2500
# crystal system: cubic
# symmetry: Fm-3m (225)
# total magnetic moment: 0.00 μB per formula unit
# E_form: -0.17 eV/atom
# polymorph energy (0 for the lowest one): 173 meV/atom

# LiHfGe2 (PBE, relaxed)
data_LiHfGe2
_symmetry_space_group_name_H-M 'P 1'
_symmetry_Int_Tables_number 1
_symmetry_space_group_name_Hall 'P 1'
_cell_length_a 4.1984
_cell_length_b 4.1984
_cell_length_c 5.1789
_cell_angle_alpha 66.09
_cell_angle_beta 66.09
_cell_angle_gamma 60.00
loop_
_atom_site_label
_atom_site_type_symbol
_atom_site_fract_x
_atom_site_fract_y
_atom_site_fract_z
Ge1 Ge 0.7337 0.7337 0.7990
Ge2 Ge 0.2663 0.2663 0.2010
Li1 Li 0.0000 0.0000 0.0000
Hf1 Hf 0.5000 0.5000 0.5000
# crystal system: trigonal
# symmetry: R-3m (166)
# total magnetic moment: 0.00 μB per formula unit
# E_form: -0.25 eV/atom
# polymorph energy (0 for the lowest one): 92 meV/atom

# Li2HfGe2 (PBE, relaxed)
data_Li2HfGe2
_symmetry_space_group_name_H-M 'P 1'
_symmetry_Int_Tables_number 1
_symmetry_space_group_name_Hall 'P 1'
_cell_length_a 7.5987
_cell_length_b 7.5987
_cell_length_c 2.9558
_cell_angle_alpha 90.00
_cell_angle_beta 90.00
_cell_angle_gamma 90.00
loop_
_atom_site_label
_atom_site_type_symbol
_atom_site_fract_x
_atom_site_fract_y
_atom_site_fract_z
Li1 Li 0.3746 0.1254 0.5000
Ge1 Ge 0.6733 0.1733 0.0000
Ge2 Ge 0.3267 0.8267 0.0000
Ge3 Ge 0.8267 0.6733 0.0000
Hf1 Hf 0.0000 0.0000 0.0000
Hf2 Hf 0.5000 0.5000 0.0000
Ge4 Ge 0.1733 0.3267 0.0000
Li2 Li 0.8746 0.3746 0.5000
Li3 Li 0.6254 0.8746 0.5000
Li4 Li 0.1254 0.6254 0.5000
# crystal system: tetragonal
# symmetry: P4/mbm (127)
# total magnetic moment: 0.00 μB per formula unit
# E_form: -0.24 eV/atom
# polymorph energy (0 for the lowest one): 108 meV/atom

# Li2HfGe2 (PBE, relaxed)
data_Li2HfGe2
_symmetry_space_group_name_H-M 'P 1'
_symmetry_Int_Tables_number 1
_symmetry_space_group_name_Hall 'P 1'
_cell_length_a 7.4832
_cell_length_b 7.4832
_cell_length_c 2.8452
_cell_angle_alpha 90.00
_cell_angle_beta 90.00
_cell_angle_gamma 90.00
loop_
_atom_site_label
_atom_site_type_symbol
_atom_site_fract_x
_atom_site_fract_y
_atom_site_fract_z
Ge1 Ge 0.6850 0.8150 0.5000
Li1 Li 0.8889 0.6111 0.0000
Li2 Li 0.3889 0.8889 0.0000
Hf1 Hf 0.0000 0.0000 0.0000
Li3 Li 0.1111 0.3889 0.0000
Li4 Li 0.6111 0.1111 0.0000
Hf2 Hf 0.5000 0.5000 0.0000
Ge2 Ge 0.8150 0.3150 0.5000
Ge3 Ge 0.1850 0.6850 0.5000
Ge4 Ge 0.3150 0.1850 0.5000
# crystal system: tetragonal
# symmetry: P4/mbm (127)
# total magnetic moment: 0.00 μB per formula unit
# E_form: -0.28 eV/atom
# polymorph energy (0 for the lowest one): 74 meV/atom